! SmHg5Pd6 | Alexandria via LeMat-Bulk | PBE | relaxed; values from VASP
! - Formation enthalpy at 0 K: -318 meV per atom
! - Total magnetization: 0.0 μB per formula unit
! - Space-group type: No. 10
! - Calculated volume: 225.3 Å³/cell
&SYSTEM
  ibrav = 0, nat = 12, ntyp = 3
/
ATOMIC_SPECIES
Pd 106.42 Pd.upf
Hg 200.59 Hg.upf
Sm 150.36 Sm.upf
CELL_PARAMETERS angstrom
4.655 0.002 -1.345
-0.003 6.515 -0.001
-1.389 0.000 7.830
ATOMIC_POSITIONS angstrom
Pd 2.847 4.870 4.082
Pd 2.848 1.648 4.083
Pd 0.938 1.716 7.157
Pd 2.326 4.802 -0.673
Pd 0.415 4.869 2.401
Pd 0.416 1.647 2.401
Hg 2.707 3.259 1.684
Hg 0.524 6.516 4.840
Hg -0.001 3.258 0.000
Hg 2.740 0.001 1.644
Hg 0.556 3.258 4.800
Sm 0.000 0.000 0.000